(1)
# LuPa2Co (PBE-GGA, optimized geometry)
# formation energy from the elements	0.0	eV/f.u.
# DOS at the Fermi energy	5.897	states/eV/cell
data_LuPa2Co
_chemical_formula_sum 'Lu1 Pa2 Co1'
_cell_length_a 3.513
_cell_length_b 3.513
_cell_length_c 9.068
_cell_angle_alpha 78.83
_cell_angle_beta 78.83
_cell_angle_gamma 60.00
_symmetry_space_group_name_H-M 'P 1'
_symmetry_Int_Tables_number 1
loop_
_symmetry_equiv_pos_as_xyz
'x,y,z'
loop_
_atom_site_label
_atom_site_type_symbol
_atom_site_fract_x
_atom_site_fract_y
_atom_site_fract_z
Co1 Co 0.000 0.000 0.000
Pa1 Pa 0.730 0.730 0.809
Pa2 Pa 0.270 0.270 0.191
Lu1 Lu 0.500 0.500 0.500

(2)
# TeOsBr2 (PBE-GGA, optimized geometry)
# uncorrected formation energy	1.475	eV/atom
# DOS at the Fermi energy	5.254	states/eV/cell
data_TeOsBr2
_chemical_formula_sum 'Te1 Os1 Br2'
_cell_length_a 5.371
_cell_length_b 5.371
_cell_length_c 3.214
_cell_angle_alpha 90.00
_cell_angle_beta 90.00
_cell_angle_gamma 90.00
_symmetry_space_group_name_H-M 'P 1'
_symmetry_Int_Tables_number 1
loop_
_symmetry_equiv_pos_as_xyz
'x,y,z'
loop_
_atom_site_label
_atom_site_type_symbol
_atom_site_fract_x
_atom_site_fract_y
_atom_site_fract_z
Te1 Te 0.000 0.500 0.500
Br1 Br 0.000 0.000 0.000
Br2 Br 0.500 0.500 0.000
Os1 Os 0.500 0.000 0.500

(3)
# LiTbHo4Se8 (PBE-GGA, optimized geometry)
# uncorrected formation energy	-1.779	eV/atom
# DOS at the Fermi energy	0.000	states/eV/cell
data_LiTbHo4Se8
_chemical_formula_sum 'Li1 Tb1 Ho4 Se8'
_cell_length_a 8.331
_cell_length_b 8.331
_cell_length_c 8.352
_cell_angle_alpha 60.08
_cell_angle_beta 60.08
_cell_angle_gamma 60.00
_symmetry_space_group_name_H-M 'P 1'
_symmetry_Int_Tables_number 1
loop_
_symmetry_equiv_pos_as_xyz
'x,y,z'
loop_
_atom_site_label
_atom_site_type_symbol
_atom_site_fract_x
_atom_site_fract_y
_atom_site_fract_z
Li1 Li 0.375 0.375 0.876
Se1 Se 0.765 0.246 0.743
Se2 Se 0.757 0.757 0.261
Se3 Se 0.245 0.245 0.266
Se4 Se 0.225 0.757 0.261
Se5 Se 0.246 0.765 0.743
Se6 Se 0.246 0.246 0.743
Se7 Se 0.759 0.759 0.724
Se8 Se 0.757 0.225 0.261
Ho1 Ho 0.005 0.484 0.505
Ho2 Ho 0.005 0.005 0.505
Ho3 Ho 0.625 0.625 0.124
Ho4 Ho 0.484 0.005 0.505
Tb1 Tb 0.005 0.005 0.985

(4)
# NaYReOs2 (PBE-GGA, optimized geometry)
# formation energy from the elements	13.8	eV/f.u.
# DOS at the Fermi energy	6.206	states/eV/cell
data_NaYReOs2
_chemical_formula_sum 'Na1 Y1 Re1 Os2'
_cell_length_a 4.930
_cell_length_b 4.944
_cell_length_c 4.930
_cell_angle_alpha 90.00
_cell_angle_beta 90.00
_cell_angle_gamma 90.00
_symmetry_space_group_name_H-M 'P 1'
_symmetry_Int_Tables_number 1
loop_
_symmetry_equiv_pos_as_xyz
'x,y,z'
loop_
_atom_site_label
_atom_site_type_symbol
_atom_site_fract_x
_atom_site_fract_y
_atom_site_fract_z
Re1 Re 0.000 0.500 0.000
Os1 Os 0.500 0.000 0.000
Os2 Os 0.000 0.000 0.500
Na1 Na 0.500 0.500 0.500
Y1 Y 0.000 0.000 0.000

(5)
# Li2HoGa9 (PBE-GGA, optimized geometry)
# formation energy from the elements	-3.3	eV/f.u.
# DOS at the Fermi energy	4.835	states/eV/cell
data_Li2HoGa9
_chemical_formula_sum 'Li2 Ho1 Ga9'
_cell_length_a 4.116
_cell_length_b 4.116
_cell_length_c 12.561
_cell_angle_alpha 90.00
_cell_angle_beta 90.00
_cell_angle_gamma 90.00
_symmetry_space_group_name_H-M 'P 1'
_symmetry_Int_Tables_number 1
loop_
_symmetry_equiv_pos_as_xyz
'x,y,z'
loop_
_atom_site_label
_atom_site_type_symbol
_atom_site_fract_x
_atom_site_fract_y
_atom_site_fract_z
Ga1 Ga 0.500 0.000 0.179
Ga2 Ga 0.500 0.000 0.500
Ga3 Ga 0.000 0.500 0.500
Ga4 Ga 0.500 0.500 0.000
Ga5 Ga 0.000 0.500 0.179
Ga6 Ga 0.500 0.500 0.666
Ga7 Ga 0.500 0.500 0.334
Ga8 Ga 0.500 0.000 0.821
Ga9 Ga 0.000 0.500 0.821
Li1 Li 0.000 0.000 0.335
Li2 Li 0.000 0.000 0.665
Ho1 Ho 0.000 0.000 0.000

(6)
# Ca2NiIr (PBE-GGA, optimized geometry)
# formation energy from the elements	-0.3	eV/f.u.
# DOS at the Fermi energy	3.261	states/eV/cell
data_Ca2NiIr
_chemical_formula_sum 'Ca2 Ni1 Ir1'
_cell_length_a 6.042
_cell_length_b 6.042
_cell_length_c 6.042
_cell_angle_alpha 148.48
_cell_angle_beta 133.61
_cell_angle_gamma 57.17
_symmetry_space_group_name_H-M 'P 1'
_symmetry_Int_Tables_number 1
loop_
_symmetry_equiv_pos_as_xyz
'x,y,z'
loop_
_atom_site_label
_atom_site_type_symbol
_atom_site_fract_x
_atom_site_fract_y
_atom_site_fract_z
Ca1 Ca 0.728 0.228 0.500
Ca2 Ca 0.020 0.020 0.000
Ni1 Ni 0.289 0.789 0.500
Ir1 Ir 0.463 0.463 0.000